Entry 1:
The following is a DFT calculation (GGA-PBE) of crystalline ErTcNO at its relaxed geometry.

abc: 3.3265 5.5195 6.1378
angles: 90.00 90.00 90.00
Closest atoms and distances in Å follow each position.
Space group Pmc2_1 (No. 26)
Inequivalent atoms, fractional coordinates:
Er: 0.0000 0.1908 0.0000 x2  2 O 2.15, 2 N 2.33
Tc: 0.5000 0.3209 0.4621 x2  2 N 1.83-1.97
N: 0.5000 0.4134 0.1762 x2  2 Tc 1.83-1.97
O: 0.0000 0.1607 0.6508 x2  2 Er 2.15, 2 Tc 2.21

Values from the calculation:
As for the crystal system: orthorhombic.



Entry 2:
The following is a DFT calculation (GGA-PBE) of crystalline TaHg4P3 at its relaxed geometry.

abc: 3.4329 5.1246 10.1893
angles: 104.09 99.24 90.01
Closest atoms and distances in Å follow each position.
Space group P1 (No. 1)
Inequivalent atoms, fractional coordinates:
Ta: 0.0000 0.0000 0.0000 x1  6 P 2.57-2.58
Hg: 0.1357 0.3127 0.2847 x1  1 Hg 2.91, 1 Ta 2.92, 2 P 3.20
Hg: 0.2949 0.4489 0.5832 x1  1 P 2.76, 1 Hg 2.91
Hg: 0.7002 0.8574 0.4168 x1  1 P 2.76, 1 Hg 2.92
Hg: 0.8621 0.0375 0.7152 x1  3 Hg 2.92-3.25, 1 Ta 2.92, 2 P 3.20-3.21
P: 0.4346 0.6639 0.8638 x1  1 P 2.25
P: 0.4989 0.3760 0.0001 x1  2 P 2.25
P: 0.5647 0.7962 0.1362 x1  1 P 2.25

Values from the calculation:
As for the crystal system: triclinic.



Number 1: magnetization 0.00 μB per atom, total energy -8.20 eV/atom. Number 2: magnetization 0.00 μB per atom, total energy -3.72 eV/atom.